Entry 1:
Entry from Alexandria: Ga2Tc2Ni after structural relaxation (PBE-GGA).

- Calculated density: 9.3 g cm⁻³
- Total moment: 0.000 μB/atom
- Excess energy over the best structure of this formula in the dataset: 0.00 eV per formula unit
- Calculated formation energy: 0.058 eV/atom

a = 6.102 Å, b = 6.102 Å, c = 3.797 Å
α = 90.00°, β = 90.00°, γ = 90.00°
Space group P4/mbm (No. 127)
Symmetry-distinct sites (fractional):
Ga (0.140, 0.360, 0.000) (multiplicity 4)
Tc (0.170, 0.670, 0.500) (multiplicity 4)
Ni (0.000, 0.000, 0.000) (multiplicity 2)


Entry 2:
Entry from Alexandria: Ga2TcNi after structural relaxation (PBE-GGA).

- Calculated density: 9.1 g cm⁻³
- Total moment: 0.000 μB/atom
- Excess energy over the best structure of this formula in the dataset: 0.31 eV per formula unit
- Calculated formation energy: -0.200 eV/atom

a = 3.034 Å, b = 3.034 Å, c = 5.858 Å
α = 90.00°, β = 90.00°, γ = 90.00°
Space group P4/mmm (No. 123)
Symmetry-distinct sites (fractional):
Ga (0.000, 0.000, 0.240) (multiplicity 2)
Tc (0.500, 0.500, 0.500) (multiplicity 1)
Ni (0.500, 0.500, 0.000) (multiplicity 1)


Entry 3:
Entry from Alexandria: Ga2Tc2Ni after structural relaxation (PBE-GGA).

- Calculated density: 8.6 g cm⁻³
- Total moment: 0.148 μB/atom
- Excess energy over the best structure of this formula in the dataset: 0.55 eV per formula unit
- Calculated formation energy: 0.167 eV/atom

a = 6.602 Å, b = 6.602 Å, c = 3.475 Å
α = 90.00°, β = 90.00°, γ = 90.00°
Space group P4/mbm (No. 127)
Symmetry-distinct sites (fractional):
Ga (0.171, 0.329, 0.000) (multiplicity 4)
Tc (0.132, 0.632, 0.500) (multiplicity 4)
Ni (0.000, 0.000, 0.500) (multiplicity 2)